Crystalline Er4AlGe4Pd2 at its relaxed geometry. Source: OQMD via LeMat-Bulk, functional PBE.

Structure (CIF):
```
data_Er4AlGe4Pd2
_space_group_name_H-M_alt 'P 1'
_space_group_IT_number 1
_cell_length_a 8.0597
_cell_length_b 8.0597
_cell_length_c 7.0179
_cell_angle_alpha 106.80
_cell_angle_beta 106.80
_cell_angle_gamma 30.47
loop_
_space_group_symop_operation_xyz
'x,y,z'
loop_
_atom_site_label
_atom_site_type_symbol
_atom_site_fract_x
_atom_site_fract_y
_atom_site_fract_z
Al1 Al 0.0000 0.0000 0.0000
Er1 Er 0.3449 0.3449 0.0770
Er2 Er 0.5855 0.5855 0.3794
Er3 Er 0.4145 0.4145 0.6206
Er4 Er 0.6551 0.6551 0.9230
Ge1 Ge 0.1855 0.1855 0.2301
Ge2 Ge 0.9404 0.9404 0.3323
Ge3 Ge 0.0596 0.0596 0.6677
Ge4 Ge 0.8145 0.8145 0.7699
Pd1 Pd 0.7810 0.7810 0.3663
Pd2 Pd 0.2190 0.2190 0.6337
```

Results
- total energy (eV for the cell shown) = -60.461
- symmetry = C2/m, No. 12
- total magnetization (μB/atom) = 0.001

Crystalline Tl2Cd2Pb3 at its relaxed geometry. Source: OQMD via LeMat-Bulk, functional PBE.

Structure (CIF):
```
data_Tl2Cd2Pb3
_space_group_name_H-M_alt 'P 1'
_space_group_IT_number 1
_cell_length_a 8.5436
_cell_length_b 8.5436
_cell_length_c 8.5436
_cell_angle_alpha 37.22
_cell_angle_beta 37.22
_cell_angle_gamma 37.22
loop_
_space_group_symop_operation_xyz
'x,y,z'
loop_
_atom_site_label
_atom_site_type_symbol
_atom_site_fract_x
_atom_site_fract_y
_atom_site_fract_z
Cd1 Cd 0.0507 0.0507 0.0507
Cd2 Cd 0.4853 0.4853 0.4853
Pb1 Pb 0.3492 0.3492 0.3492
Pb2 Pb 0.6234 0.6234 0.6234
Pb3 Pb 0.9105 0.9105 0.9105
Tl1 Tl 0.1889 0.1889 0.1889
Tl2 Tl 0.7671 0.7671 0.7671
```

Results
- total energy (eV for the cell shown) = -17.340
- symmetry = R3m, No. 160

Crystalline BaNi3 at its relaxed geometry. Source: OQMD via LeMat-Bulk, functional PBE.

Structure (CIF):
```
data_BaNi3
_space_group_name_H-M_alt 'P 1'
_space_group_IT_number 1
_cell_length_a 6.7961
_cell_length_b 6.7961
_cell_length_c 4.0100
_cell_angle_alpha 90.00
_cell_angle_beta 90.00
_cell_angle_gamma 120.00
loop_
_space_group_symop_operation_xyz
'x,y,z'
loop_
_atom_site_label
_atom_site_type_symbol
_atom_site_fract_x
_atom_site_fract_y
_atom_site_fract_z
Ba1 Ba 0.6667 0.3333 0.2500
Ba2 Ba 0.3333 0.6667 0.7500
Ni1 Ni 0.1170 0.2340 0.2500
Ni2 Ni 0.7660 0.8830 0.2500
Ni3 Ni 0.1170 0.8830 0.2500
Ni4 Ni 0.8830 0.1170 0.7500
Ni5 Ni 0.2340 0.1170 0.7500
Ni6 Ni 0.8830 0.7660 0.7500
```

Results
- total energy (eV for the cell shown) = -35.478
- symmetry = P6_3/mmc, No. 194
- total magnetization (μB/atom) = 0.245

Crystalline Al2Hg3Cl8 at its relaxed geometry. Source: OQMD via LeMat-Bulk, functional PBE.

Structure (CIF):
```
data_Al2Hg3Cl8
_space_group_name_H-M_alt 'P 1'
_space_group_IT_number 1
_cell_length_a 7.2190
_cell_length_b 15.2830
_cell_length_c 14.3558
_cell_angle_alpha 90.00
_cell_angle_beta 99.46
_cell_angle_gamma 90.00
loop_
_space_group_symop_operation_xyz
'x,y,z'
loop_
_atom_site_label
_atom_site_type_symbol
_atom_site_fract_x
_atom_site_fract_y
_atom_site_fract_z
Al1 Al 0.6008 0.6818 0.0947
Al2 Al 0.1940 0.8970 0.2235
Al3 Al 0.8060 0.3970 0.2765
Al4 Al 0.3992 0.1818 0.4053
Al5 Al 0.6008 0.8182 0.5947
Al6 Al 0.1940 0.6030 0.7235
Al7 Al 0.8060 0.1030 0.7765
Al8 Al 0.3992 0.3182 0.9053
Cl1 Cl 0.8192 0.6142 0.0292
Cl2 Cl 0.5946 0.8151 0.0444
Cl3 Cl 0.3494 0.6098 0.0456
Cl4 Cl 0.1753 0.9775 0.0994
Cl5 Cl 0.9963 0.4365 0.1848
Cl6 Cl 0.1523 0.7611 0.1898
Cl7 Cl 0.5174 0.4101 0.1991
Cl8 Cl 0.6773 0.6722 0.2449
Cl9 Cl 0.3227 0.1722 0.2551
Cl10 Cl 0.4826 0.9101 0.3009
Cl11 Cl 0.8477 0.2611 0.3102
Cl12 Cl 0.0037 0.9365 0.3152
Cl13 Cl 0.8247 0.4775 0.4006
Cl14 Cl 0.6506 0.1098 0.4544
Cl15 Cl 0.4054 0.3151 0.4556
Cl16 Cl 0.1808 0.1142 0.4708
Cl17 Cl 0.8192 0.8858 0.5292
Cl18 Cl 0.5946 0.6849 0.5444
Cl19 Cl 0.3494 0.8902 0.5456
Cl20 Cl 0.1753 0.5225 0.5994
Cl21 Cl 0.9963 0.0635 0.6848
Cl22 Cl 0.1523 0.7389 0.6898
Cl23 Cl 0.5174 0.0899 0.6991
Cl24 Cl 0.6773 0.8278 0.7449
Cl25 Cl 0.3227 0.3278 0.7551
Cl26 Cl 0.4826 0.5899 0.8009
Cl27 Cl 0.8477 0.2389 0.8102
Cl28 Cl 0.0037 0.5635 0.8152
Cl29 Cl 0.8247 0.0225 0.9006
Cl30 Cl 0.6506 0.3902 0.9544
Cl31 Cl 0.4054 0.1849 0.9556
Cl32 Cl 0.1808 0.3858 0.9708
Hg1 Hg 0.9924 0.2620 0.0331
Hg2 Hg 0.8123 0.1377 0.1086
Hg3 Hg 0.6278 0.0239 0.1976
Hg4 Hg 0.3722 0.5239 0.3024
Hg5 Hg 0.1877 0.6377 0.3914
Hg6 Hg 0.0076 0.7620 0.4669
Hg7 Hg 0.9924 0.2380 0.5331
Hg8 Hg 0.8123 0.3623 0.6086
Hg9 Hg 0.6278 0.4761 0.6976
Hg10 Hg 0.3722 0.9761 0.8024
Hg11 Hg 0.1877 0.8623 0.8914
Hg12 Hg 0.0076 0.7380 0.9669
```

Results
- total energy (eV for the cell shown) = -151.597
- symmetry = P2_1/c, No. 14

Crystalline Li2Si2PdPt at its relaxed geometry. Source: OQMD via LeMat-Bulk, functional PBE.

Structure (CIF):
```
data_Li2Si2PdPt
_space_group_name_H-M_alt 'P 1'
_space_group_IT_number 1
_cell_length_a 4.2477
_cell_length_b 4.2477
_cell_length_c 5.2801
_cell_angle_alpha 90.00
_cell_angle_beta 90.00
_cell_angle_gamma 120.00
loop_
_space_group_symop_operation_xyz
'x,y,z'
loop_
_atom_site_label
_atom_site_type_symbol
_atom_site_fract_x
_atom_site_fract_y
_atom_site_fract_z
Li1 Li 0.0000 0.0000 0.2506
Li2 Li 0.0000 0.0000 0.7494
Pd1 Pd 0.3333 0.6667 0.0000
Pt1 Pt 0.6667 0.3333 0.5000
Si1 Si 0.6667 0.3333 0.0000
Si2 Si 0.3333 0.6667 0.5000
```

Results
- total energy (eV for the cell shown) = -29.700
- symmetry = P-6m2, No. 187
- total magnetization (μB/atom) = 0.000

Crystalline Tb3Ni2Ge3 at its relaxed geometry. Source: OQMD via LeMat-Bulk, functional PBE.

Structure (CIF):
```
data_Tb3Ni2Ge3
_space_group_name_H-M_alt 'P 1'
_space_group_IT_number 1
_cell_length_a 5.5915
_cell_length_b 5.5915
_cell_length_c 14.1679
_cell_angle_alpha 90.00
_cell_angle_beta 90.00
_cell_angle_gamma 135.70
loop_
_space_group_symop_operation_xyz
'x,y,z'
loop_
_atom_site_label
_atom_site_type_symbol
_atom_site_fract_x
_atom_site_fract_y
_atom_site_fract_z
Ge1 Ge 0.6241 0.3759 0.0383
Ge2 Ge 0.3341 0.6659 0.2500
Ge3 Ge 0.6241 0.3759 0.4617
Ge4 Ge 0.3759 0.6241 0.5383
Ge5 Ge 0.6659 0.3341 0.7500
Ge6 Ge 0.3759 0.6241 0.9617
Ni1 Ni 0.2015 0.7985 0.1001
Ni2 Ni 0.2015 0.7985 0.3999
Ni3 Ni 0.7985 0.2015 0.6001
Ni4 Ni 0.7985 0.2015 0.8999
Tb1 Tb 0.9117 0.0883 0.1087
Tb2 Tb 0.6326 0.3674 0.2500
Tb3 Tb 0.9117 0.0883 0.3913
Tb4 Tb 0.0883 0.9117 0.6087
Tb5 Tb 0.3674 0.6326 0.7500
Tb6 Tb 0.0883 0.9117 0.8913
```

Results
- total energy (eV for the cell shown) = -90.858
- symmetry = Cmcm, No. 63
- total magnetization (μB/atom) = 0.001

Crystalline ZrCo2Ni at its relaxed geometry. Source: OQMD via LeMat-Bulk, functional PBE.

Structure (CIF):
```
data_ZrCo2Ni
_space_group_name_H-M_alt 'P 1'
_space_group_IT_number 1
_cell_length_a 3.7886
_cell_length_b 5.2544
_cell_length_c 5.2544
_cell_angle_alpha 87.22
_cell_angle_beta 90.00
_cell_angle_gamma 90.00
loop_
_space_group_symop_operation_xyz
'x,y,z'
loop_
_atom_site_label
_atom_site_type_symbol
_atom_site_fract_x
_atom_site_fract_y
_atom_site_fract_z
Co1 Co 0.5000 0.1271 0.1271
Co2 Co 0.0000 0.8836 0.3698
Co3 Co 0.0000 0.8635 0.8635
Co4 Co 0.0000 0.3698 0.8836
Ni1 Ni 0.0000 0.3775 0.3775
Ni2 Ni 0.5000 0.6239 0.6239
Zr1 Zr 0.5000 0.6309 0.1237
Zr2 Zr 0.5000 0.1237 0.6309
```

Results
- energy of formation (meV per atom) = -226.1
- symmetry = Amm2, No. 38
- total magnetization (μB/atom) = 0.418

Crystalline HfFeCuBi at its relaxed geometry. Source: OQMD via LeMat-Bulk, functional PBE.

Structure (CIF):
```
data_HfFeCuBi
_space_group_name_H-M_alt 'P 1'
_space_group_IT_number 1
_cell_length_a 4.5616
_cell_length_b 4.5616
_cell_length_c 4.5616
_cell_angle_alpha 60.00
_cell_angle_beta 60.00
_cell_angle_gamma 60.00
loop_
_space_group_symop_operation_xyz
'x,y,z'
loop_
_atom_site_label
_atom_site_type_symbol
_atom_site_fract_x
_atom_site_fract_y
_atom_site_fract_z
Bi1 Bi 0.5000 0.5000 0.5000
Cu1 Cu 0.7500 0.7500 0.7500
Fe1 Fe 0.2500 0.2500 0.2500
Hf1 Hf 0.0000 0.0000 0.0000
```

Results
- symmetry = F-43m, No. 216
- total magnetization (μB/atom) = 0.001
- E above lowest polymorph (kJ/mol of atoms) = 0.0

Crystalline AcAsPtO at its relaxed geometry. Source: OQMD via LeMat-Bulk, functional PBE.

Structure (CIF):
```
data_AcAsPtO
_space_group_name_H-M_alt 'P 1'
_space_group_IT_number 1
_cell_length_a 4.8164
_cell_length_b 4.3537
_cell_length_c 7.5150
_cell_angle_alpha 90.00
_cell_angle_beta 90.00
_cell_angle_gamma 90.00
loop_
_space_group_symop_operation_xyz
'x,y,z'
loop_
_atom_site_label
_atom_site_type_symbol
_atom_site_fract_x
_atom_site_fract_y
_atom_site_fract_z
Ac1 Ac 0.5000 0.2472 0.1051
Ac2 Ac 0.5000 0.7528 0.6051
As1 As 0.0000 0.7539 0.2723
As2 As 0.0000 0.2461 0.7723
O1 O 0.5000 0.2541 0.4381
O2 O 0.5000 0.7459 0.9381
Pt1 Pt 0.0000 0.2559 0.4385
Pt2 Pt 0.0000 0.7441 0.9385
```

Results
- symmetry = Pmc2_1, No. 26
- total magnetization (μB/atom) = 0.000
- E above lowest polymorph (kJ/mol of atoms) = 32.5

Crystalline Li4In2NiAg at its relaxed geometry. Source: OQMD via LeMat-Bulk, functional PBE.

Structure (CIF):
```
data_Li4In2NiAg
_space_group_name_H-M_alt 'P 1'
_space_group_IT_number 1
_cell_length_a 4.4922
_cell_length_b 4.4922
_cell_length_c 6.3999
_cell_angle_alpha 90.00
_cell_angle_beta 90.00
_cell_angle_gamma 90.00
loop_
_space_group_symop_operation_xyz
'x,y,z'
loop_
_atom_site_label
_atom_site_type_symbol
_atom_site_fract_x
_atom_site_fract_y
_atom_site_fract_z
Ag1 Ag 0.0000 0.0000 0.0000
In1 In 0.0000 0.5000 0.2762
In2 In 0.5000 0.0000 0.7238
Li1 Li 0.5000 0.5000 0.0000
Li2 Li 0.5000 0.0000 0.2584
Li3 Li 0.0000 0.0000 0.5000
Li4 Li 0.0000 0.5000 0.7416
Ni1 Ni 0.5000 0.5000 0.5000
```

Results
- total energy (eV for the cell shown) = -23.525
- symmetry = P-4m2, No. 115
- total magnetization (μB/atom) = 0.002